Compound: CaAc2CrO6
Source: Alexandria via LeMat-Bulk
Functional: PBE with a Hubbard U
Structure: relaxed

Geometry as POSCAR:
```
CaAc2CrO6
1.0
-3.2053 -3.1704 -1.4691
1.9389 0.5143 -5.3404
3.7301 -4.2107 0.9487
O Ca Ac Cr
6 1 2 1
Direct
0.7110 0.7715 0.2285
0.7110 0.2285 0.2285
0.2207 0.0000 0.0000
0.7110 0.2285 0.7715
0.7110 0.7715 0.7715
0.1262 0.5000 0.5000
0.5957 0.5000 0.5000
0.0296 0.5000 0.0000
0.0296 0.0000 0.5000
0.6011 0.0000 0.0000
```

**VASP energy**: -74.3 eV/f.u.
**Crystal system**: tetragonal